Entry 1:
This record from Alexandria describes a relaxed structure of LiRu2Cl8. The functional is PBE.

Properties
Formation energy without anion corrections   -0.484 eV per atom
Mass density   2.29 Mg/m³
E   -3.688 eV per atom
Space group   C2/m, No. 12

Lattice parameters (Å, degrees): 6.359 7.681 7.681 74.33 83.26 83.26
Last column: magnetic moment on the atom in μB.
Fractional positions:
Li: 0.000 0.000 0.000  0.00
Ru: 0.671 0.803 0.803  0.32
Ru: 0.329 0.197 0.197  0.32
Cl: 0.198 0.277 0.924  0.00
Cl: 0.802 0.076 0.723  0.00
Cl: 0.320 0.809 0.809  0.02
Cl: 0.680 0.191 0.191  0.02
Cl: 0.198 0.924 0.277  0.00
Cl: 0.802 0.723 0.076  0.00
Cl: 0.779 0.624 0.624  0.03
Cl: 0.221 0.376 0.376  0.03

***

Entry 2:
This record from Alexandria describes a relaxed structure of InSb2Pt. The functional is PBE.

Properties
Formation energy without anion corrections   -0.059 eV per atom
Mass density   9.74 Mg/m³
E   -4.315 eV per atom
Space group   Pmm2, No. 25

Lattice parameters (Å, degrees): 3.277 3.430 8.392 90.00 90.00 90.00
Fractional positions:
In: 0.000 0.000 0.541
Pt: 0.500 0.500 0.759
Sb: 0.000 0.000 0.942
Sb: 0.500 0.500 0.258

***

Entry 3:
This record from Alexandria describes a relaxed structure of LiAc2HfO6. The functional is PBE.

Properties
Formation energy without anion corrections   -2.992 eV per atom
Mass density   8.48 Mg/m³
E   -7.976 eV per atom
Space group   P2_1/c, No. 14

Lattice parameters (Å, degrees): 5.824 6.035 8.192 90.00 90.76 90.00
Last column: magnetic moment on the atom in μB.
Fractional positions:
Li: 0.500 0.000 0.500  0.00
Li: 0.000 0.500 0.000  0.00
Ac: 0.012 0.945 0.248  0.01
Ac: 0.512 0.555 0.748  0.01
Ac: 0.988 0.055 0.752  0.01
Ac: 0.488 0.445 0.252  0.01
Hf: 0.500 0.000 0.000  -0.02
Hf: 0.000 0.500 0.500  -0.02
O: 0.311 0.714 0.051  0.17
O: 0.811 0.786 0.551  0.17
O: 0.689 0.286 0.949  0.17
O: 0.189 0.214 0.449  0.17
O: 0.291 0.690 0.455  0.13
O: 0.791 0.810 0.955  0.13
O: 0.709 0.310 0.545  0.13
O: 0.209 0.190 0.045  0.13
O: 0.908 0.535 0.256  0.16
O: 0.408 0.965 0.756  0.16
O: 0.092 0.465 0.744  0.16
O: 0.592 0.035 0.244  0.16

***

Entry 4:
This record from Alexandria describes a relaxed structure of Ho2MgGa2Pt5. The functional is PBE.

Properties
Mass density   13.60 Mg/m³
Calculated formation energy   -9.23 eV per formula unit
E   -5.624 eV per atom
Space group   P4/mbm, No. 127

Lattice parameters (Å, degrees): 3.799 9.717 9.717 90.00 90.00 90.00
Fractional positions:
Ho: 0.000 0.674 0.174
Ho: 0.000 0.326 0.826
Ho: 0.000 0.174 0.326
Ho: 0.000 0.826 0.674
Mg: 0.000 0.000 0.000
Mg: 0.000 0.500 0.500
Ga: 0.000 0.125 0.625
Ga: 0.000 0.875 0.375
Ga: 0.000 0.625 0.875
Ga: 0.000 0.375 0.125
Pt: 0.500 0.206 0.065
Pt: 0.500 0.794 0.935
Pt: 0.500 0.065 0.794
Pt: 0.500 0.706 0.435
Pt: 0.500 0.935 0.206
Pt: 0.500 0.294 0.565
Pt: 0.500 0.565 0.706
Pt: 0.500 0.435 0.294
Pt: 0.500 0.500 0.000
Pt: 0.500 0.000 0.500

***

Entry 5:
This record from Alexandria describes a relaxed structure of Pr2TaCu. The functional is PBE.

Properties
Mass density   8.87 Mg/m³
Calculated formation energy   2.93 eV per formula unit
E   -5.643 eV per atom
Space group   R-3m, No. 166

Lattice parameters (Å, degrees): 3.214 3.214 11.163 81.72 81.72 60.00
Last column: magnetic moment on the atom in μB.
Fractional positions:
Pr: 0.093 0.093 0.722  0.07
Pr: 0.907 0.907 0.278  0.07
Cu: 0.500 0.500 0.500  0.01
Ta: 0.000 0.000 0.000  0.36

***

Entry 6:
This record from Alexandria describes a relaxed structure of BaLa4Fe. The functional is PBE.

Properties
Mass density   5.77 Mg/m³
Calculated formation energy   3.96 eV per formula unit
E   -4.356 eV per atom
Space group   F-43m, No. 216

Lattice parameters (Å, degrees): 6.729 6.729 6.729 60.00 60.00 60.00
Last column: magnetic moment on the atom in μB.
Fractional positions:
Ba: 0.750 0.750 0.750  0.00
La: 0.890 0.370 0.370  0.05
La: 0.370 0.370 0.890  0.05
La: 0.370 0.890 0.370  0.05
La: 0.370 0.370 0.370  0.05
Fe: 0.000 0.000 0.000  -3.23

***

Entry 7:
This record from Alexandria describes a relaxed structure of PrHo2Ag3. The functional is PBE.

Properties
Mass density   8.89 Mg/m³
Calculated formation energy   -1.83 eV per formula unit
E   -4.053 eV per atom
Space group   P4/mmm, No. 123

Lattice parameters (Å, degrees): 3.644 3.644 11.181 90.00 90.00 90.00
Fractional positions:
Pr: 0.500 0.500 0.500
Ho: 0.500 0.500 0.839
Ho: 0.500 0.500 0.161
Ag: 0.000 0.000 0.000
Ag: 0.000 0.000 0.685
Ag: 0.000 0.000 0.315

***

Entry 8:
This record from Alexandria describes a relaxed structure of Pa2BOs6. The functional is PBE.

Properties
Mass density   18.79 Mg/m³
Calculated formation energy   -3.36 eV per formula unit
E   -10.712 eV per atom
Space group   Fm-3m, No. 225

Lattice parameters (Å, degrees): 5.865 5.865 5.865 60.00 60.00 60.00
Fractional positions:
Pa: 0.250 0.250 0.250
Pa: 0.750 0.750 0.750
B: 0.500 0.500 0.500
Os: 0.243 0.243 0.757
Os: 0.243 0.757 0.243
Os: 0.757 0.243 0.757
Os: 0.757 0.243 0.243
Os: 0.243 0.757 0.757
Os: 0.757 0.757 0.243

***

Entry 9:
This record from Alexandria describes a relaxed structure of Y8ZnSe6. The functional is PBE.

Properties
Formation energy without anion corrections   -1.272 eV per atom
Mass density   5.30 Mg/m³
E   -6.198 eV per atom
Space group   P-3, No. 147

Lattice parameters (Å, degrees): 4.043 10.576 10.576 120.00 90.00 90.00
Fractional positions:
Y: 0.749 0.966 0.282
Y: 0.749 0.718 0.685
Y: 0.749 0.315 0.034
Y: 0.251 0.034 0.718
Y: 0.251 0.282 0.315
Y: 0.251 0.685 0.966
Y: 0.749 0.333 0.667
Y: 0.251 0.667 0.333
Zn: 0.500 0.000 0.000
Se: 0.749 0.649 0.131
Se: 0.749 0.869 0.518
Se: 0.749 0.482 0.351
Se: 0.251 0.351 0.869
Se: 0.251 0.131 0.482
Se: 0.251 0.518 0.649

***

Entry 10:
This record from Alexandria describes a relaxed structure of Na5Te5Au2. The functional is PBE.

Properties
Formation energy without anion corrections   -0.519 eV per atom
Mass density   5.09 Mg/m³
E   -2.924 eV per atom
Space group   C2/m, No. 12

Lattice parameters (Å, degrees): 4.366 7.886 11.327 92.32 90.00 106.07
Fractional positions:
Na: 0.500 0.000 0.500
Na: 0.608 0.216 0.151
Na: 0.786 0.572 0.370
Na: 0.214 0.428 0.630
Na: 0.392 0.784 0.849
Te: 0.133 0.265 0.373
Te: 0.625 0.251 0.815
Te: 0.375 0.749 0.185
Te: 0.867 0.735 0.627
Te: 0.000 0.000 0.000
Au: 0.028 0.056 0.742
Au: 0.972 0.944 0.258